(1)
Below is a relaxed In2NiSnAs crystal, with properties calculated at the PBE level.

Lattice parameters (Å, degrees): 5.2166 5.2166 5.4606 90.00 90.00 90.00
Space group P4/mmm (No. 123)
Asymmetric unit:
In 0.0000 0.5000 0.0000 [2 per cell]
Ni 0.0000 0.0000 0.5000 [1 per cell]
Sn 0.5000 0.5000 0.5000 [1 per cell]
As 0.5000 0.5000 0.0000 [1 per cell]

Computed properties:
Its magnetization is 0.3 μB per formula unit. For the density of states at the Fermi level, the calculation gives 4.79 states/eV/cell. For the formation energy, the calculation gives 0.880 eV/atom.

(2)
Below is a relaxed BaCo2Te crystal, with properties calculated at the PBE level.

Lattice parameters (Å, degrees): 4.7589 4.1753 5.2873 90.00 103.63 90.00
Space group Pm (No. 6)
Asymmetric unit:
Ba 0.0000 0.0000 0.0000 [1 per cell]
Co 0.2091 0.5000 0.5675 [1 per cell]
Co 0.4165 0.0000 0.5434 [1 per cell]
Te 0.6778 0.5000 0.4250 [1 per cell]

Computed properties:
The value obtained for the formation energy from raw total energies is -0.061 eV/atom. Its magnetization is 2.2 μB per formula unit. For the density of states at the Fermi level, the calculation gives 3.17 states/eV/cell.

(3)
Below is a relaxed KBaFe3 crystal, with properties calculated at the PBE level.

Lattice parameters (Å, degrees): 5.6337 5.6337 5.6337 90.00 90.00 90.00
Space group Pm-3m (No. 221)
Asymmetric unit:
K 0.0000 0.0000 0.0000 [1 per cell]
Ba 0.5000 0.5000 0.5000 [1 per cell]
Fe 0.0000 0.5000 0.5000 [3 per cell]

Computed properties:
Its magnetization is 9.1 μB per formula unit. For the density of states at the Fermi level, the calculation gives 6.46 states/eV/cell. For the formation energy, the calculation gives 1.953 eV/atom.

(4)
Below is a relaxed MgSnIr crystal, with properties calculated at the PBE level.

Lattice parameters (Å, degrees): 3.4959 3.4959 8.7538 90.00 90.00 90.00
Space group I4mm (No. 107)
Asymmetric unit:
Mg 0.0000 0.0000 0.0000 [2 per cell]
Sn 0.0000 0.0000 0.3180 [2 per cell]
Ir 0.0000 0.0000 0.6614 [2 per cell]

Computed properties:
Its magnetization is 0.0 μB per formula unit. For the density of states at the Fermi level, the calculation gives 2.35 states/eV/cell. For the formation energy, the calculation gives -0.270 eV/atom.

(5)
Below is a relaxed Pr4CuRh2 crystal, with properties calculated at the PBE level.

Lattice parameters (Å, degrees): 11.6021 9.0694 7.7064 90.00 110.72 90.00
Space group Cm (No. 8)
Asymmetric unit:
Pr 0.0000 0.0000 0.0000 [2 per cell]
Pr 0.0002 0.5000 0.4839 [2 per cell]
Pr 0.2249 0.2613 0.3538 [4 per cell]
Pr 0.2327 0.2592 0.8567 [4 per cell]
Pr 0.4930 0.5000 0.4774 [2 per cell]
Pr 0.4992 0.0000 0.9947 [2 per cell]
Cu 0.2797 0.0000 0.6310 [2 per cell]
Cu 0.2842 0.0000 0.1284 [2 per cell]
Rh 0.2671 0.5000 0.1161 [2 per cell]
Rh 0.2820 0.5000 0.6381 [2 per cell]
Rh 0.4512 0.2446 0.2141 [4 per cell]

Computed properties:
Its magnetization is 0.0 μB per formula unit. For the density of states at the Fermi level, the calculation gives 22.48 states/eV/cell. For the formation energy, the calculation gives -0.438 eV/atom.

(6)
Below is a relaxed TbTmCl3 crystal, with properties calculated at the PBE level.

Lattice parameters (Å, degrees): 16.6921 3.7817 10.6165 90.00 122.25 90.00
Space group C2/m (No. 12)
Asymmetric unit:
Tb 0.1385 0.0000 0.2891 [4 per cell]
Tm 0.0770 0.5000 0.9544 [4 per cell]
Cl 0.0371 0.0000 0.7453 [4 per cell]
Cl 0.1653 0.5000 0.5088 [4 per cell]
Cl 0.2134 0.0000 0.1138 [4 per cell]

Computed properties:
The value obtained for the formation energy from raw total energies is -1.824 eV/atom. Its magnetization is 0.0 μB per formula unit.